1.
DFT (PBE-GGA) results for a geometry-optimized ReHgSe structure.

Computed properties:
Formation energy (no corrections), eV/atom: 1.3301
Excess energy over the best structure of this formula in the dataset, kcal/mol of atoms: 24.25

a b c (Å): 6.2900 6.2900 6.2900
angles (deg): 90.00 90.00 90.00
Space group F-43m (No. 216)
Inequivalent atoms, fractional coordinates:
1 Re 0.0000 0.0000 0.0000 [4 per cell]
2 Hg 0.0000 0.0000 0.5000 [4 per cell]
3 Se 0.2500 0.2500 0.2500 [4 per cell]

2.
DFT (PBE-GGA) results for a geometry-optimized Ac2PaSe5 structure.

Computed properties:
Formation energy (no corrections), eV/atom: -1.6994
Excess energy over the best structure of this formula in the dataset, kcal/mol of atoms: 2.96

a b c (Å): 5.8316 15.0783 14.4133
angles (deg): 90.00 90.00 90.00
Space group Cmcm (No. 63)
Inequivalent atoms, fractional coordinates:
1 Ac 0.0000 0.1441 0.0652 [8 per cell]
2 Pa 0.0000 0.1875 0.7500 [4 per cell]
3 Se 0.0000 0.0492 0.6219 [8 per cell]
4 Se 0.0000 0.2677 0.2500 [4 per cell]
5 Se 0.0000 0.2994 0.5852 [8 per cell]

3.
DFT (PBE-GGA) results for a geometry-optimized MnCu structure.

Computed properties:
Calculated formation energy, meV/atom: 651.4

a b c (Å): 4.9919 4.9919 4.9919
angles (deg): 90.00 90.00 90.00
Space group Fm-3m (No. 225)
Inequivalent atoms, fractional coordinates:
1 Mn 0.0000 0.0000 0.0000 [4 per cell]
2 Cu 0.0000 0.0000 0.5000 [4 per cell]

4.
DFT (PBE-GGA) results for a geometry-optimized BaLa2Ru structure.

Computed properties:
Calculated formation energy, meV/atom: -185.3
Excess energy over the best structure of this formula in the dataset, kcal/mol of atoms: 0.00

a b c (Å): 4.3159 5.6243 12.6255
angles (deg): 90.00 90.03 90.00
Space group P2_1/m (No. 11)
Inequivalent atoms, fractional coordinates:
1 Ba 0.2494 0.2500 0.1031 [2 per cell]
2 La 0.2499 0.2500 0.4328 [2 per cell]
3 La 0.2506 0.2500 0.7338 [2 per cell]
4 Ru 0.2497 0.7500 0.3895 [2 per cell]

5.
DFT (PBE-GGA) results for a geometry-optimized TmBeBi structure.

Computed properties:
Calculated formation energy, meV/atom: -128.4

a b c (Å): 15.3701 4.2724 4.5413
angles (deg): 90.00 107.15 90.00
Space group C2/m (No. 12)
Inequivalent atoms, fractional coordinates:
1 Tm 0.0919 0.0000 0.3423 [4 per cell]
2 Be 0.2209 0.5000 0.4718 [4 per cell]
3 Bi 0.1071 0.5000 0.8575 [4 per cell]

6.
DFT (PBE-GGA) results for a geometry-optimized TbPrPuSn structure.

Computed properties:
Calculated formation energy, meV/atom: -114.0

a b c (Å): 7.7705 7.7705 7.7705
angles (deg): 90.00 90.00 90.00
Space group F-43m (No. 216)
Inequivalent atoms, fractional coordinates:
1 Tb 0.0000 0.0000 0.0000 [4 per cell]
2 Pr 0.2500 0.2500 0.2500 [4 per cell]
3 Pu 0.2500 0.2500 0.7500 [4 per cell]
4 Sn 0.0000 0.0000 0.5000 [4 per cell]

7.
DFT (PBE-GGA) results for a geometry-optimized Rb3As3Pt2 structure.

Computed properties:
Calculated formation energy, meV/atom: -411.9

a b c (Å): 4.5420 12.8154 15.9443
angles (deg): 90.00 90.00 90.00
Space group Cmcm (No. 63)
Inequivalent atoms, fractional coordinates:
1 Rb 0.0000 0.0420 0.1072 [8 per cell]
2 Rb 0.0000 0.3732 0.2500 [4 per cell]
3 As 0.0000 0.3055 0.0485 [8 per cell]
4 As 0.0000 0.3206 0.7500 [4 per cell]
5 Pt 0.0000 0.2527 0.6036 [8 per cell]

8.
DFT (PBE-GGA) results for a geometry-optimized PrErBiSb structure.

Computed properties:
Formation energy (no corrections), eV/atom: -1.0085

a b c (Å): 4.5029 4.5029 22.0158
angles (deg): 90.00 90.00 120.00
Space group R3m (No. 160, hexagonal axes)
Inequivalent atoms, fractional coordinates:
1 Pr 0.0000 0.0000 0.0000 [3 per cell]
2 Er 0.0000 0.0000 0.4960 [3 per cell]
3 Bi 0.0000 0.0000 0.2437 [3 per cell]
4 Sb 0.0000 0.0000 0.7524 [3 per cell]